Entry 1:
! Ag2BPbS4 | the Alexandria database | PBE | relaxed; values from VASP
&SYSTEM
  ibrav = 0, nat = 8, ntyp = 4
/
ATOMIC_SPECIES
S 32.06 S.upf
Ag 107.87 Ag.upf
B 10.81 B.upf
Pb 207.20 Pb.upf
CELL_PARAMETERS angstrom
-4.5174 -4.5859 1.3177
-3.2881 -2.6641 -4.1616
1.2815 -5.7400 0.7989
ATOMIC_POSITIONS angstrom
S -3.6467 -9.1110 -0.6881
Ag -2.2400 -7.1829 0.0870
S -1.5555 -4.7688 0.0781
B -1.0033 -4.2020 -1.6814
S -1.3263 -2.3044 -1.8094
S -6.5196 -9.7957 -1.6706
Ag -4.2841 -5.8070 -2.1320
Pb 0.0000 0.0000 0.0000
! SG   I222
! Total energy   -34.727 eV per formula unit

=====

Entry 2:
! GaCuAg2Au2 | the Alexandria database | PBE | relaxed; values from VASP
&SYSTEM
  ibrav = 0, nat = 12, ntyp = 4
/
ATOMIC_SPECIES
Ag 107.87 Ag.upf
Au 196.97 Au.upf
Ga 69.72 Ga.upf
Cu 63.55 Cu.upf
CELL_PARAMETERS angstrom
-0.1529 2.1836 4.6179
-5.1707 0.3128 -0.3191
2.0084 -8.5496 1.2814
ATOMIC_POSITIONS angstrom
Ag -3.0103 -3.6440 3.0017
Au -2.7807 -1.0583 1.8162
Au -3.0430 -5.9350 1.2858
Ga -1.2927 0.0782 -0.0798
Au -0.5344 -4.9950 3.7641
Ag -2.9647 -1.1885 4.6699
Cu -1.3691 1.1700 2.2292
Au -0.2722 -0.1182 4.2945
Ag -0.3504 -4.8647 0.9104
Ga -3.8780 0.2346 -0.2393
Cu -3.9544 1.3264 2.0697
Ag -0.3048 -2.4092 2.5786
! SG   Ibam
! Energy of formation   0.0045 eV per atom
! Total energy   -19.354 eV per formula unit

=====

Entry 3:
! La2Pr3HoTe6 | the Alexandria database | PBE | relaxed; values from VASP
&SYSTEM
  ibrav = 0, nat = 12, ntyp = 4
/
ATOMIC_SPECIES
Te 127.60 Te.upf
La 138.91 La.upf
Pr 140.91 Pr.upf
Ho 164.93 Ho.upf
CELL_PARAMETERS angstrom
-2.1756 1.4319 3.6625
-7.9431 -1.2091 -4.2457
2.6617 -9.4061 2.5012
ATOMIC_POSITIONS angstrom
Te -2.2460 -6.3087 1.1323
La -2.1295 -3.3030 0.0263
Pr -5.0593 0.1114 -0.2916
La -5.3274 -5.8803 1.8917
Pr -1.3613 -5.1966 3.9803
Te -6.0502 -0.9668 -3.2160
Te -1.2082 -2.1669 2.8868
Ho -1.0878 0.7159 1.8312
Te -6.2487 -7.0164 -0.9688
Te -5.2110 -2.8746 0.7857
Te -1.4068 -8.2165 5.1340
Pr -6.0956 -3.9867 -2.0623
! SG   C2/m
! Total energy   -65.142 eV per formula unit

=====

- Number 3 is which compound?
  La2Pr3HoTe6